Entry from Alexandria via LeMat-Bulk: crystalline RbNbTl at its relaxed geometry (PBE).

Summary:
ΔE to the lowest computed polymorph (eV/atom): 0.120
Energy of formation (eV/atom): 0.370
SG: P1 (1)

Lattice parameters (Å, degrees): 3.5000 4.7867 13.1258 88.65 89.15 90.00
Closest atoms and distances in Å follow each position.
Fractional coordinates of all 6 atoms:
1 Rb 0.0000 0.0000 0.0000  2 Rb 3.50, 1 Nb 3.51
2 Rb 0.4604 0.5193 0.6833  2 Rb 3.50, 2 Tl 3.72
3 Nb 0.4766 0.9664 0.4181  2 Nb 2.64
4 Nb 0.9850 0.9789 0.2673  2 Nb 2.64
5 Tl 0.4879 0.4825 0.2163  4 Nb 3.04, 2 Tl 3.36
6 Tl 0.9756 0.4650 0.4345  6 Nb 2.97-3.26